Below is a geometry-optimized Mg2AgOs structure, with properties calculated at the PBE-GGA level.

POSCAR file:
```
Mg2AgOs
1.0
-1.969 1.969 4.336
1.969 -1.969 4.336
1.969 1.969 -4.336
Mg Ag Os
2 1 1
Cartesian
0.000 0.000 0.000
0.000 1.969 2.168
0.000 0.000 4.336
1.969 0.000 2.168
```

Output
Size of the total moment   0.1222 μB per atom
Calculated total energy   -16.17 eV per cell
Symmetry   I-4m2, No. 119
ΔH_f (0 K)   0.28 eV/atom
ρ   8.56 g cm⁻³